(1)
# NaCaTmIn PBE optimized geometry
# Total DFT energy (no corrections) = -2.769 eV/atom
# Magnetization = 0.00 μB per formula unit
data_NaCaTmIn
_chemical_formula_sum 'Na4 Ca4 Tm4 In4'
_cell_length_a 7.708
_cell_length_b 7.708
_cell_length_c 7.708
_cell_angle_alpha 90.00
_cell_angle_beta 90.00
_cell_angle_gamma 90.00
_symmetry_space_group_name_H-M 'F -4 3 m'
_symmetry_Int_Tables_number 216
_symmetry_space_group_name_Hall 'F -4 2 3'
loop_
_atom_site_label
_atom_site_type_symbol
_atom_site_fract_x
_atom_site_fract_y
_atom_site_fract_z
Na1 Na 0.000 0.000 0.000
Ca1 Ca 0.250 0.250 0.250
Tm1 Tm 0.250 0.250 0.750
In1 In 0.000 0.000 0.500

=====

(2)
# Na2CaInW PBE optimized geometry
# Total DFT energy (no corrections) = -2.589 eV/atom
# Magnetization = 4.44 μB per formula unit
data_Na2CaInW
_chemical_formula_sum 'Na2 Ca1 In1 W1'
_cell_length_a 6.935
_cell_length_b 6.935
_cell_length_c 6.160
_cell_angle_alpha 90.00
_cell_angle_beta 90.00
_cell_angle_gamma 90.00
_symmetry_space_group_name_H-M 'P 4/m m m'
_symmetry_Int_Tables_number 123
_symmetry_space_group_name_Hall '-P 4 2'
loop_
_atom_site_label
_atom_site_type_symbol
_atom_site_fract_x
_atom_site_fract_y
_atom_site_fract_z
Na1 Na 0.000 0.500 0.000
Ca1 Ca 0.000 0.000 0.500
In1 In 0.500 0.500 0.500
W1 W 0.500 0.500 0.000

=====

(3)
# NaCa2YIn PBE optimized geometry
# Total DFT energy (no corrections) = -2.341 eV/atom
# Magnetization = 1.80 μB per formula unit
data_NaCa2YIn
_chemical_formula_sum 'Na1 Ca2 Y1 In1'
_cell_length_a 6.353
_cell_length_b 6.353
_cell_length_c 5.805
_cell_angle_alpha 90.00
_cell_angle_beta 90.00
_cell_angle_gamma 90.00
_symmetry_space_group_name_H-M 'P 4/m m m'
_symmetry_Int_Tables_number 123
_symmetry_space_group_name_Hall '-P 4 2'
loop_
_atom_site_label
_atom_site_type_symbol
_atom_site_fract_x
_atom_site_fract_y
_atom_site_fract_z
Na1 Na 0.000 0.000 0.000
Ca1 Ca 0.000 0.500 0.500
Y1 Y 0.500 0.500 0.500
In1 In 0.500 0.500 0.000

=====

(4)
# NaCaZnIn PBE optimized geometry
# Total DFT energy (no corrections) = -2.003 eV/atom
# Magnetization = 0.00 μB per formula unit
data_NaCaZnIn
_chemical_formula_sum 'Na4 Ca4 Zn4 In4'
_cell_length_a 7.182
_cell_length_b 7.182
_cell_length_c 7.182
_cell_angle_alpha 90.00
_cell_angle_beta 90.00
_cell_angle_gamma 90.00
_symmetry_space_group_name_H-M 'F -4 3 m'
_symmetry_Int_Tables_number 216
_symmetry_space_group_name_Hall 'F -4 2 3'
loop_
_atom_site_label
_atom_site_type_symbol
_atom_site_fract_x
_atom_site_fract_y
_atom_site_fract_z
Na1 Na 0.000 0.000 0.000
Ca1 Ca 0.250 0.250 0.250
Zn1 Zn 0.000 0.000 0.500
In1 In 0.250 0.250 0.750

=====

(5)
# Ca3NbIn PBE optimized geometry
# Total DFT energy (no corrections) = -2.730 eV/atom
# Excess energy over the best structure of this formula in the dataset = 0.240 eV per atom
# Magnetization = 0.00 μB per formula unit
data_Ca3NbIn
_chemical_formula_sum 'Ca3 Nb1 In1'
_cell_length_a 5.763
_cell_length_b 5.763
_cell_length_c 5.763
_cell_angle_alpha 90.00
_cell_angle_beta 90.00
_cell_angle_gamma 90.00
_symmetry_space_group_name_H-M 'P m -3 m'
_symmetry_Int_Tables_number 221
_symmetry_space_group_name_Hall '-P 4 2 3'
loop_
_atom_site_label
_atom_site_type_symbol
_atom_site_fract_x
_atom_site_fract_y
_atom_site_fract_z
Ca1 Ca 0.000 0.000 0.500
Nb1 Nb 0.500 0.500 0.500
In1 In 0.000 0.000 0.000

=====

(6)
# Ca2NbIn PBE optimized geometry
# Total DFT energy (no corrections) = -3.609 eV/atom
# Magnetization = 2.08 μB per formula unit
data_Ca2NbIn
_chemical_formula_sum 'Ca8 Nb4 In4'
_cell_length_a 8.487
_cell_length_b 8.487
_cell_length_c 6.199
_cell_angle_alpha 90.00
_cell_angle_beta 90.00
_cell_angle_gamma 90.00
_symmetry_space_group_name_H-M 'I -4 2 d'
_symmetry_Int_Tables_number 122
_symmetry_space_group_name_Hall 'I -4 2bw'
loop_
_atom_site_label
_atom_site_type_symbol
_atom_site_fract_x
_atom_site_fract_y
_atom_site_fract_z
Ca1 Ca 0.246 0.250 0.125
Nb1 Nb 0.000 0.000 0.500
In1 In 0.000 0.000 0.000

=====

(7)
# CaNb2In PBE optimized geometry
# Total DFT energy (no corrections) = -5.398 eV/atom
# Magnetization = 0.00 μB per formula unit
data_CaNb2In
_chemical_formula_sum 'Ca4 Nb8 In4'
_cell_length_a 8.165
_cell_length_b 8.165
_cell_length_c 5.680
_cell_angle_alpha 90.00
_cell_angle_beta 90.00
_cell_angle_gamma 90.00
_symmetry_space_group_name_H-M 'I -4 2 d'
_symmetry_Int_Tables_number 122
_symmetry_space_group_name_Hall 'I -4 2bw'
loop_
_atom_site_label
_atom_site_type_symbol
_atom_site_fract_x
_atom_site_fract_y
_atom_site_fract_z
Ca1 Ca 0.000 0.000 0.000
Nb1 Nb 0.223 0.250 0.625
In1 In 0.000 0.000 0.500

=====

(8)
# Ca3NbIn PBE optimized geometry
# Total DFT energy (no corrections) = -2.970 eV/atom
# Excess energy over the best structure of this formula in the dataset = 0.000 eV per atom
# Magnetization = 0.00 μB per formula unit
data_Ca3NbIn
_chemical_formula_sum 'Ca3 Nb1 In1'
_cell_length_a 5.578
_cell_length_b 5.578
_cell_length_c 5.578
_cell_angle_alpha 90.00
_cell_angle_beta 90.00
_cell_angle_gamma 90.00
_symmetry_space_group_name_H-M 'P m -3 m'
_symmetry_Int_Tables_number 221
_symmetry_space_group_name_Hall '-P 4 2 3'
loop_
_atom_site_label
_atom_site_type_symbol
_atom_site_fract_x
_atom_site_fract_y
_atom_site_fract_z
Ca1 Ca 0.000 0.000 0.500
Nb1 Nb 0.000 0.000 0.000
In1 In 0.500 0.500 0.500